First-principles (PBE-GGA) data for a relaxed structure of GaBSbOs2, as listed in the Alexandria database.

As for the crystal system: tetragonal. For the uncorrected formation energy, the calculation gives 0.5714 eV per atom.

The space group is P4/mmm (No. 123) and the conventional cell measures 4.3125, 4.3125 and 4.0274 Å, with angles of 90.00, 90.00 and 90.00 degrees. The inequivalent atoms are Ga at (0.0000, 0.0000, 0.0000), B at (0.0000, 0.0000, 0.5000), Sb at (0.5000, 0.5000, 0.0000) and Os at (0.0000, 0.5000, 0.5000).